Entry 1:
Density functional theory data (PBE-GGA) for an optimized crystal structure of Y12Bi3C5.

abc: 13.8491 13.8491 13.8491
angles: 109.47 109.47 109.47
With the nearest neighbours (Å) after each atom.
Fractional coordinates of all 80 atoms:
Y1 0.1842 0.0869 0.6967  2 C 2.30-2.55
Y2 0.4131 0.3033 0.3158  2 C 2.30-2.55
Y3 0.0974 0.9131 0.1098  2 C 2.30-2.55
Y4 0.3902 0.4026 0.0869  2 C 2.30-2.55
C1 0.0000 0.5000 0.0000  6 Y 2.55
Y5 0.4876 0.8033 0.8902  2 C 2.30-2.55
Y6 0.9131 0.8158 0.8033  2 C 2.30-2.55
C2 0.2500 0.3750 0.6250  4 Y 2.30
C3 0.5000 0.5000 0.0000  6 Y 2.55
Y7 0.4026 0.3902 0.5869  2 C 2.30-2.55
Y8 0.0869 0.1842 0.1967  2 C 2.30-2.55
C4 0.5000 0.0000 0.0000  6 Y 2.55
Y9 0.5869 0.8902 0.4026  2 C 2.30-2.55
Bi1 0.7500 0.8750 0.6250  8 Y 3.17-3.28
Y10 0.0124 0.4026 0.8158  2 C 2.30-2.55
C5 0.0000 0.0000 0.0000  6 Y 2.55
Bi2 0.6250 0.3750 0.7500  8 Y 3.17-3.28
Y11 0.5869 0.6967 0.6842  2 C 2.30-2.55
Y12 0.0124 0.6098 0.6967  2 C 2.30-2.55
Y13 0.9026 0.8158 0.5124  2 C 2.30-2.55
Y14 0.8033 0.3158 0.9131  2 C 2.30-2.55
Y15 0.8033 0.4876 0.3902  2 C 2.30-2.55
Bi3 0.6250 0.2500 0.3750  8 Y 3.17-3.28
Y16 0.0974 0.1842 0.4876  2 C 2.30-2.55
Y17 0.4026 0.0124 0.3158  2 C 2.30-2.55
C6 0.8750 0.2500 0.6250  4 Y 2.30
Y18 0.1098 0.4131 0.0974  2 C 2.30-2.55
Y19 0.1967 0.5124 0.6098  2 C 2.30-2.55
Y20 0.6098 0.5974 0.9131  2 C 2.30-2.55
Y21 0.1098 0.6967 0.5124  2 C 2.30-2.55
Y22 0.8158 0.9026 0.0124  2 C 2.30-2.55
Y23 0.6967 0.1098 0.0124  2 C 2.30-2.55
Bi4 0.2500 0.6250 0.8750  8 Y 3.17-3.28
Y24 0.1967 0.6842 0.0869  2 C 2.30-2.55
Y25 0.9876 0.5974 0.1842  2 C 2.30-2.55
C7 0.5000 0.0000 0.5000  6 Y 2.55
Y26 0.8158 0.9131 0.3033  2 C 2.30-2.55
Bi5 0.3750 0.7500 0.6250  8 Y 3.17-3.28
Y27 0.9026 0.0869 0.8902  2 C 2.30-2.55
C8 0.3750 0.2500 0.1250  4 Y 2.30
C9 0.0000 0.0000 0.5000  6 Y 2.55
C10 0.7500 0.1250 0.8750  4 Y 2.30
C11 0.7500 0.6250 0.3750  4 Y 2.30
Y28 0.3158 0.5124 0.4026  2 C 2.30-2.55
Bi6 0.3750 0.6250 0.2500  8 Y 3.17-3.28
Bi7 0.1250 0.8750 0.7500  8 Y 3.17-3.28
C12 0.6250 0.7500 0.8750  4 Y 2.30
Y29 0.4876 0.6842 0.0974  2 C 2.30-2.55
C13 0.1250 0.7500 0.3750  4 Y 2.30
Y30 0.8902 0.5869 0.9026  2 C 2.30-2.55
Y31 0.5124 0.3158 0.9026  2 C 2.30-2.55
Bi8 0.2500 0.1250 0.3750  8 Y 3.17-3.28
Y32 0.3033 0.8902 0.9876  2 C 2.30-2.55
Y33 0.9876 0.3902 0.3033  2 C 2.30-2.55
C14 0.5000 0.5000 0.5000  6 Y 2.55
Y34 0.6967 0.5869 0.1842  2 C 2.30-2.55
Y35 0.0869 0.9026 0.3902  2 C 2.30-2.55
Y36 0.3902 0.9876 0.8033  2 C 2.30-2.55
Y37 0.4131 0.1098 0.5974  2 C 2.30-2.55
Bi9 0.8750 0.1250 0.2500  8 Y 3.17-3.28
Bi10 0.1250 0.2500 0.8750  8 Y 3.17-3.28
Y38 0.9131 0.0974 0.6098  2 C 2.30-2.55
Y39 0.6842 0.1967 0.5869  2 C 2.30-2.55
Y40 0.8902 0.3033 0.4876  2 C 2.30-2.55
C15 0.8750 0.6250 0.7500  4 Y 2.30
Y41 0.3158 0.8033 0.4131  2 C 2.30-2.55
Y42 0.5974 0.6098 0.4131  2 C 2.30-2.55
C16 0.0000 0.5000 0.5000  6 Y 2.55
C17 0.2500 0.8750 0.1250  4 Y 2.30
Y43 0.3033 0.4131 0.8158  2 C 2.30-2.55
C18 0.6250 0.8750 0.2500  4 Y 2.30
C19 0.3750 0.1250 0.7500  4 Y 2.30
Y44 0.5124 0.1967 0.1098  2 C 2.30-2.55
Y45 0.1842 0.0974 0.9876  2 C 2.30-2.55
Y46 0.6842 0.4876 0.5974  2 C 2.30-2.55
Y47 0.5974 0.9876 0.6842  2 C 2.30-2.55
C20 0.1250 0.3750 0.2500  4 Y 2.30
Y48 0.6098 0.0124 0.1967  2 C 2.30-2.55
Bi11 0.7500 0.3750 0.1250  8 Y 3.17-3.28
Bi12 0.8750 0.7500 0.1250  8 Y 3.17-3.28

As for the volume: 2044.76 Å³ per cell. The density is 5.70 g/cm3. The space group is Ia-3d (230). The energy of formation from the pure elements is -0.33 eV per atom.



Entry 2:
Density functional theory data (PBE-GGA) for an optimized crystal structure of Y4Bi2C.

abc: 7.0128 6.7772 8.8530
angles: 90.00 108.51 90.00
With the nearest neighbours (Å) after each atom.
Fractional coordinates of all 14 atoms:
Bi1 0.7197 0.7500 0.0468  6 Y 3.14-3.33
Y1 0.5009 0.9983 0.2711  1 C 2.23
Y2 0.9137 0.2500 0.6380  1 C 2.27
Y3 0.5009 0.5017 0.2711  1 C 2.23
Y4 0.0863 0.7500 0.3620  1 C 2.27
Bi2 0.7886 0.7500 0.5767  8 Y 3.24-3.50
Y5 0.4991 0.4983 0.7289  1 C 2.23
C1 0.2827 0.7500 0.2012  4 Y 2.23-2.27
Y6 0.4991 0.0017 0.7289  1 C 2.23
C2 0.7173 0.2500 0.7988  4 Y 2.23-2.27
Bi3 0.2803 0.2500 0.9532  6 Y 3.14-3.33
Y7 0.1229 0.7500 0.9359  1 C 2.26
Y8 0.8771 0.2500 0.0641  1 C 2.26
Bi4 0.2114 0.2500 0.4233  8 Y 3.24-3.50

As for the volume: 398.98 Å³ per cell. The density is 6.54 g/cm3. The space group is P2_1/m (11). The energy relative to the lowest polymorph listed for this composition comes out at 127 meV per atom. The energy of formation from the pure elements is -0.54 eV per atom.



Entry 3:
Density functional theory data (PBE-GGA) for an optimized crystal structure of Y4Bi2C.

abc: 4.8627 4.8627 8.7240
angles: 73.82 73.82 90.00
With the nearest neighbours (Å) after each atom.
Fractional coordinates of all 7 atoms:
Y1 0.1535 0.1535 0.6930  1 C 2.46
Y2 0.8465 0.8465 0.3070  1 C 2.46
Y3 0.5000 0.0000 0.0000  2 C 2.43
Y4 0.0000 0.5000 0.0000  2 C 2.43
Bi1 0.3554 0.3554 0.2892  9 Y 3.24-3.44
C1 0.0000 0.0000 0.0000  6 Y 2.43-2.46
Bi2 0.6446 0.6446 0.7108  9 Y 3.24-3.44

As for the volume: 189.59 Å³ per cell. The density is 6.88 g/cm3. The space group is I4/mmm (139). The energy relative to the lowest polymorph listed for this composition comes out at 0 meV per atom. The energy of formation from the pure elements is -0.67 eV per atom.



Entry 4:
Density functional theory data (PBE-GGA) for an optimized crystal structure of Y6BiC3.

abc: 3.6436 10.6275 11.9169
angles: 101.62 90.00 90.00
With the nearest neighbours (Å) after each atom.
Fractional coordinates of all 20 atoms:
Bi1 0.7500 0.0468 0.6782  6 Y 3.20-3.52
Y1 0.2500 0.6145 0.9530  4 C 2.49-2.74
Y2 0.2500 0.3348 0.7579  3 C 2.48-2.49
C1 0.7500 0.6309 0.4429  6 Y 2.46-2.62
C2 0.7500 0.4789 0.8487  5 Y 2.48-2.74
Y3 0.7500 0.9174 0.0803  3 C 2.48-2.49
Bi2 0.2500 0.9532 0.3218  6 Y 3.20-3.52
Y4 0.2500 0.0826 0.9197  3 C 2.48-2.49
Y5 0.7500 0.5287 0.6254  3 C 2.51-2.62
Y6 0.7500 0.2195 0.4843  2 C 2.46
Y7 0.7500 0.6652 0.2421  3 C 2.48-2.49
C3 0.2500 0.5211 0.1513  5 Y 2.48-2.74
Y8 0.2500 0.7805 0.5157  2 C 2.46
C4 0.7500 0.1467 0.0608  6 Y 2.43-2.58
Y9 0.7500 0.3855 0.0470  4 C 2.49-2.74
C5 0.2500 0.8533 0.9392  6 Y 2.43-2.58
C6 0.2500 0.3691 0.5571  6 Y 2.46-2.62
Y10 0.2500 0.1932 0.1974  2 C 2.43
Y11 0.7500 0.8068 0.8026  2 C 2.43
Y12 0.2500 0.4713 0.3746  3 C 2.51-2.62

As for the volume: 451.99 Å³ per cell. The density is 5.72 g/cm3. The space group is P2_1/m (11). The energy of formation from the pure elements is -0.36 eV per atom.



Entry 5:
Density functional theory data (PBE-GGA) for an optimized crystal structure of Y8BiC4.

abc: 3.6512 8.9632 9.2941
angles: 81.96 78.67 78.25
With the nearest neighbours (Å) after each atom.
Fractional coordinates of all 13 atoms:
Y1 0.4747 0.3481 0.7026  3 C 2.48-2.51
C1 0.6633 0.1658 0.5075  6 Y 2.45-2.52
C2 0.3681 0.8377 0.4261  6 Y 2.45-2.52
Y2 0.8499 0.9919 0.3083  3 C 2.45-2.49
Bi1 0.5159 0.0015 0.9667  10 Y 3.60-3.68, 2 Bi 3.65
Y3 0.8092 0.3452 0.0364  3 C 2.47-2.51
Y4 0.5567 0.6553 0.2312  3 C 2.48-2.51
Y5 0.1815 0.0116 0.6253  3 C 2.45-2.49
C3 0.8507 0.5032 0.7954  6 Y 2.47-2.53
Y6 0.1474 0.3268 0.3784  3 C 2.52-2.53
C4 0.1807 0.5001 0.1384  6 Y 2.47-2.53
Y7 0.8839 0.6767 0.5554  3 C 2.52-2.53
Y8 0.2222 0.6581 0.8975  3 C 2.47-2.51

As for the volume: 290.40 Å³ per cell. The density is 5.54 g/cm3. The space group is C2/m (12). The energy of formation from the pure elements is -0.35 eV per atom.



Entry 6:
Density functional theory data (PBE-GGA) for an optimized crystal structure of YBiC3.

abc: 4.4179 4.4179 4.4179
angles: 90.00 90.00 90.00
With the nearest neighbours (Å) after each atom.
Fractional coordinates of all 5 atoms:
C1 0.0000 0.5000 0.0000  2 Bi 2.21
Bi1 0.0000 0.0000 0.0000  6 C 2.21
C2 0.5000 0.0000 0.0000  2 Bi 2.21
C3 0.0000 0.0000 0.5000  2 Bi 2.21
Y1 0.5000 0.5000 0.5000  12 C 3.12

As for the volume: 86.23 Å³ per cell. The density is 6.43 g/cm3. The space group is Pm-3m (221). The energy relative to the lowest polymorph listed for this composition comes out at 0 meV per atom. The energy of formation from the pure elements is 2.32 eV per atom.



Entry 7:
Density functional theory data (PBE-GGA) for an optimized crystal structure of Y6BiC4.

abc: 3.7024 6.4306 19.4339
angles: 90.00 90.00 106.73
With the nearest neighbours (Å) after each atom.
Fractional coordinates of all 22 atoms:
Y1 0.2251 0.4501 0.9233  5 C 2.51-2.65
C1 0.8634 0.7268 0.9601  6 Y 2.37-2.62
C2 0.5922 0.1843 0.8738  6 Y 2.43-2.70
Bi1 0.6575 0.3150 0.2500  6 Y 3.10-3.18
Y2 0.5000 0.0000 0.5000  6 C 2.62-2.70
Y3 0.7749 0.5499 0.4233  5 C 2.51-2.65
C3 0.8634 0.7268 0.5399  6 Y 2.37-2.62
Y4 0.2251 0.4501 0.5767  5 C 2.51-2.65
Y5 0.6405 0.2811 0.7500  2 C 2.48
Y6 0.7749 0.5499 0.0767  5 C 2.51-2.65
Bi2 0.3425 0.6850 0.7500  6 Y 3.10-3.18
Y7 0.0335 0.0671 0.3571  3 C 2.37-2.43
C4 0.4078 0.8157 0.1262  6 Y 2.43-2.70
Y8 0.5000 0.0000 0.0000  6 C 2.62-2.70
C5 0.1366 0.2732 0.0399  6 Y 2.37-2.62
C6 0.1366 0.2732 0.4601  6 Y 2.37-2.62
C7 0.4078 0.8157 0.3738  6 Y 2.43-2.70
Y9 0.9665 0.9329 0.6429  3 C 2.37-2.43
Y10 0.9665 0.9329 0.8571  3 C 2.37-2.43
C8 0.5922 0.1843 0.6262  6 Y 2.43-2.70
Y11 0.3595 0.7189 0.2500  2 C 2.48
Y12 0.0335 0.0671 0.1429  3 C 2.37-2.43

As for the volume: 443.11 Å³ per cell. The density is 5.92 g/cm3. The space group is Cmcm (63). The energy of formation from the pure elements is -0.33 eV per atom.



Entry 8:
Density functional theory data (PBE-GGA) for an optimized crystal structure of Y3Bi2C.

abc: 6.3887 7.2024 7.9148
angles: 103.05 113.80 90.00
With the nearest neighbours (Å) after each atom.
Fractional coordinates of all 12 atoms:
C1 0.0540 0.2500 0.0000  5 Y 2.35-2.49
Y1 0.8728 0.4370 0.7636  2 C 2.46-2.49
Y2 0.8909 0.9370 0.7636  2 C 2.46-2.49
Bi1 0.3071 0.4117 0.6370  6 Y 3.16-3.34
Y3 0.1272 0.5630 0.2364  2 C 2.46-2.49
Bi2 0.6701 0.0883 0.3630  6 Y 3.16-3.34
Bi3 0.3299 0.9117 0.6370  6 Y 3.16-3.34
Y4 0.4212 0.2500 0.0000  1 C 2.35
Y5 0.1091 0.0630 0.2364  2 C 2.46-2.49
Bi4 0.6929 0.5883 0.3630  6 Y 3.16-3.34
C2 0.9460 0.7500 0.0000  5 Y 2.35-2.49
Y6 0.5788 0.7500 0.0000  1 C 2.35

As for the volume: 322.91 Å³ per cell. The density is 7.17 g/cm3. The space group is C2/c (15). The energy of formation from the pure elements is -0.57 eV per atom.



Entry 9:
Density functional theory data (PBE-GGA) for an optimized crystal structure of YBiC3.

abc: 4.5152 4.5152 4.5152
angles: 90.00 90.00 90.00
With the nearest neighbours (Å) after each atom.
Fractional coordinates of all 5 atoms:
C1 0.0000 0.5000 0.0000  2 Y 2.26
Y1 0.0000 0.0000 0.0000  6 C 2.26
C2 0.5000 0.0000 0.0000  2 Y 2.26
C3 0.0000 0.0000 0.5000  2 Y 2.26
Bi1 0.5000 0.5000 0.5000  12 C 3.19

As for the volume: 92.05 Å³ per cell. The density is 6.02 g/cm3. The space group is Pm-3m (221). The energy relative to the lowest polymorph listed for this composition comes out at 61 meV per atom. The energy of formation from the pure elements is 2.38 eV per atom.



Entry 10:
Density functional theory data (PBE-GGA) for an optimized crystal structure of Y8Bi2C3.

abc: 6.4252 7.3255 8.5196
angles: 115.46 104.59 90.00
With the nearest neighbours (Å) after each atom.
Fractional coordinates of all 13 atoms:
Y1 0.6132 0.6711 0.8217  2 C 2.46-2.48
Y2 0.3868 0.3289 0.1783  2 C 2.46-2.48
Y3 0.3868 0.8494 0.1783  2 C 2.46-2.48
Bi1 0.3215 0.2542 0.5084  6 Y 3.14-3.23
C1 0.0000 0.7478 0.0000  6 Y 2.46-2.51
Y4 0.0869 0.4083 0.8166  2 C 2.46
Y5 0.8949 0.0898 0.1797  3 C 2.51-2.53
Y6 0.6132 0.1506 0.8217  2 C 2.46-2.48
C2 0.0000 0.2522 0.0000  6 Y 2.46-2.51
Bi2 0.6785 0.7458 0.4916  6 Y 3.14-3.23
Y7 0.1051 0.9102 0.8203  3 C 2.51-2.53
Y8 0.9131 0.5917 0.1834  2 C 2.46
C3 0.5000 0.0000 0.0000  6 Y 2.46-2.53

As for the volume: 347.67 Å³ per cell. The density is 5.57 g/cm3. The space group is C2/m (12). The energy of formation from the pure elements is -0.41 eV per atom.



Entry 11:
Density functional theory data (PBE-GGA) for an optimized crystal structure of Y5BiC.

abc: 7.1940 7.1940 9.4370
angles: 71.11 71.11 69.72
With the nearest neighbours (Å) after each atom.
Fractional coordinates of all 14 atoms:
Bi1 0.4240 0.5760 0.7500  5 Y 3.01-3.17
Y1 0.1068 0.3133 0.8616  1 C 2.45
Y2 0.3133 0.1068 0.3616  1 C 2.45
Y3 0.6416 0.1891 0.9733  1 C 2.52
Bi2 0.5760 0.4240 0.2500  5 Y 3.01-3.17
Y4 0.3584 0.8109 0.0267  1 C 2.52
Y5 0.1891 0.6416 0.4733  1 C 2.52
Y6 0.8932 0.6867 0.1384  1 C 2.45
Y7 0.9416 0.0584 0.2500  2 C 2.41
Y8 0.8109 0.3584 0.5267  1 C 2.52
Y9 0.6867 0.8932 0.6384  1 C 2.45
C1 0.0000 0.0000 0.5000  6 Y 2.41-2.52
Y10 0.0584 0.9416 0.7500  2 C 2.41
C2 0.0000 0.0000 0.0000  6 Y 2.41-2.52

As for the volume: 420.94 Å³ per cell. The density is 5.25 g/cm3. The space group is C2/c (15). The energy of formation from the pure elements is -0.21 eV per atom.



Entry 12:
Density functional theory data (PBE-GGA) for an optimized crystal structure of Y4Bi3C.

abc: 6.2905 9.6602 8.5715
angles: 90.00 90.00 90.00
With the nearest neighbours (Å) after each atom.
Fractional coordinates of all 16 atoms:
Y1 0.0711 0.3193 0.7764  1 C 2.30
Bi1 0.5564 0.8964 0.0000  5 Y 2.98-3.24
Bi2 0.5640 0.3535 0.3112  4 Y 3.08-3.29, 1 Bi 3.24
Bi3 0.0640 0.6465 0.8112  4 Y 3.08-3.29, 1 Bi 3.24
Y2 0.5711 0.6807 0.7236  1 C 2.30
C1 0.4976 0.8028 0.5000  4 Y 2.30-2.32
Y3 0.0711 0.3193 0.2236  1 C 2.30
Y4 0.5711 0.6807 0.2764  1 C 2.30
Y5 0.1292 0.7991 0.5000  1 C 2.32
Bi4 0.5640 0.3535 0.6888  4 Y 3.08-3.29, 1 Bi 3.24
Bi5 0.0564 0.1036 0.5000  5 Y 2.98-3.24
Bi6 0.0640 0.6465 0.1888  4 Y 3.08-3.29, 1 Bi 3.24
Y6 0.6292 0.2009 0.0000  1 C 2.32
C2 0.9976 0.1972 0.0000  4 Y 2.30-2.32
Y7 0.5619 0.0386 0.5000  1 C 2.31
Y8 0.0619 0.9614 0.0000  1 C 2.31

As for the volume: 520.86 Å³ per cell. The density is 6.34 g/cm3. The space group is Pmn2_1 (31). The energy of formation from the pure elements is -0.44 eV per atom.



Repeat the third record exactly.
Density functional theory data (PBE-GGA) for an optimized crystal structure of Y4Bi2C.

abc: 4.8627 4.8627 8.7240
angles: 73.82 73.82 90.00
With the nearest neighbours (Å) after each atom.
Fractional coordinates of all 7 atoms:
Y1 0.1535 0.1535 0.6930  1 C 2.46
Y2 0.8465 0.8465 0.3070  1 C 2.46
Y3 0.5000 0.0000 0.0000  2 C 2.43
Y4 0.0000 0.5000 0.0000  2 C 2.43
Bi1 0.3554 0.3554 0.2892  9 Y 3.24-3.44
C1 0.0000 0.0000 0.0000  6 Y 2.43-2.46
Bi2 0.6446 0.6446 0.7108  9 Y 3.24-3.44

As for the volume: 189.59 Å³ per cell. The density is 6.88 g/cm3. The space group is I4/mmm (139). The energy relative to the lowest polymorph listed for this composition comes out at 0 meV per atom. The energy of formation from the pure elements is -0.67 eV per atom.